Version a
! Tb6Pr4Tm | the Alexandria database | PBE-GGA | relaxed; values from VASP
! Fermi-level density of states: 14.85 states/eV/cell
! Total magnetization: 0.00 μB/f.u.
&SYSTEM
  ibrav = 0, nat = 11, ntyp = 3
/
ATOMIC_SPECIES
Pr 140.91 Pr.upf
Tb 158.93 Tb.upf
Tm 168.93 Tm.upf
CELL_PARAMETERS angstrom
-2.225 2.385 -9.179
-4.354 -3.173 8.115
1.518 4.266 8.625
ATOMIC_POSITIONS crystal
Pr 0.000 0.634 0.014
Pr 0.000 0.014 0.634
Pr 0.620 0.986 0.986
Pr 0.380 0.366 0.366
Tb 0.353 0.554 0.554
Tb 0.500 0.500 0.000
Tb 0.647 0.201 0.201
Tb 0.000 0.799 0.446
Tb 0.000 0.446 0.799
Tb 0.500 0.000 0.500
Tm 0.000 0.000 0.000



Version b
! Tb6Pr4Tm | the Alexandria database | PBE-GGA | relaxed; values from VASP
! Fermi-level density of states: 12.91 states/eV/cell
! Total magnetization: 0.00 μB/f.u.
&SYSTEM
  ibrav = 0, nat = 11, ntyp = 3
/
ATOMIC_SPECIES
Tb 158.93 Tb.upf
Pr 140.91 Pr.upf
Tm 168.93 Tm.upf
CELL_PARAMETERS angstrom
-7.623 -0.649 0.554
-0.515 -0.475 -7.639
4.661 -6.076 3.915
ATOMIC_POSITIONS crystal
Tb 0.500 0.000 0.000
Tb 0.917 0.451 0.368
Tb 0.549 0.549 0.632
Tb 0.083 0.083 0.632
Tb 0.451 0.917 0.368
Tb 0.000 0.500 0.000
Pr 0.745 0.099 0.844
Pr 0.099 0.745 0.844
Pr 0.255 0.255 0.156
Pr 0.901 0.901 0.156
Tm 0.500 0.500 0.000



Which is most stable, and by how much? version a, by 0.145 eV/atom.



Version a
! Tb2Pr5Tm4 | the Alexandria database | PBE-GGA | relaxed; values from VASP
! Fermi-level density of states: 15.04 states/eV/cell
! Total magnetization: 0.00 μB/f.u.
&SYSTEM
  ibrav = 0, nat = 11, ntyp = 3
/
ATOMIC_SPECIES
Pr 140.91 Pr.upf
Tm 168.93 Tm.upf
Tb 158.93 Tb.upf
CELL_PARAMETERS angstrom
-2.030 2.500 1.509
-6.645 -8.287 4.792
6.588 -0.879 6.128
ATOMIC_POSITIONS crystal
Pr 0.903 0.465 0.806
Pr 0.097 0.535 0.194
Pr 0.824 0.929 0.647
Pr 0.176 0.071 0.353
Pr 0.500 0.000 0.000
Tm 0.360 0.205 0.720
Tm 0.966 0.740 0.932
Tm 0.640 0.795 0.280
Tm 0.034 0.260 0.068
Tb 0.284 0.649 0.567
Tb 0.716 0.351 0.433



Version b
! Tb2Pr5Tm4 | the Alexandria database | PBE-GGA | relaxed; values from VASP
! Fermi-level density of states: 17.64 states/eV/cell
! Total magnetization: 0.00 μB/f.u.
&SYSTEM
  ibrav = 0, nat = 11, ntyp = 3
/
ATOMIC_SPECIES
Pr 140.91 Pr.upf
Tm 168.93 Tm.upf
Tb 158.93 Tb.upf
CELL_PARAMETERS angstrom
-2.663 -0.942 -2.129
-1.838 -7.121 5.449
-5.145 10.746 4.622
ATOMIC_POSITIONS crystal
Pr 0.145 0.944 0.291
Pr 0.500 0.000 0.000
Pr 0.855 0.653 0.709
Pr 0.145 0.347 0.291
Pr 0.855 0.056 0.709
Tm 0.000 0.317 0.000
Tm 0.596 0.596 0.192
Tm 0.000 0.683 0.000
Tm 0.404 0.404 0.808
Tb 0.269 0.269 0.539
Tb 0.731 0.731 0.461



Which is most stable, and by how much? version a, by 0.104 eV/atom.



Version a
! Tb4PrTm6 | the Alexandria database | PBE-GGA | relaxed; values from VASP
! Fermi-level density of states: 17.66 states/eV/cell
! Total magnetization: 0.00 μB/f.u.
&SYSTEM
  ibrav = 0, nat = 11, ntyp = 3
/
ATOMIC_SPECIES
Tb 158.93 Tb.upf
Tm 168.93 Tm.upf
Pr 140.91 Pr.upf
CELL_PARAMETERS angstrom
7.731 0.000 0.000
0.000 7.731 0.000
-3.866 -3.866 6.363
ATOMIC_POSITIONS crystal
Tb 0.242 0.242 0.148
Tb 0.758 0.094 0.852
Tb 0.906 0.906 0.148
Tb 0.094 0.758 0.852
Tm 0.000 0.500 0.000
Tm 0.057 0.057 0.629
Tm 0.572 0.572 0.629
Tm 0.943 0.428 0.371
Tm 0.428 0.943 0.371
Tm 0.500 0.000 0.000
Pr 0.500 0.500 0.000



Version b
! Tb4PrTm6 | the Alexandria database | PBE-GGA | relaxed; values from VASP
! Fermi-level density of states: 14.90 states/eV/cell
! Total magnetization: 0.00 μB/f.u.
&SYSTEM
  ibrav = 0, nat = 11, ntyp = 3
/
ATOMIC_SPECIES
Tm 168.93 Tm.upf
Tb 158.93 Tb.upf
Pr 140.91 Pr.upf
CELL_PARAMETERS angstrom
7.399 -2.930 -5.457
-5.124 7.949 1.916
-1.889 2.930 8.997
ATOMIC_POSITIONS crystal
Tm 0.500 0.000 0.500
Tm 0.000 0.809 0.451
Tm 0.358 0.549 0.549
Tm 0.642 0.191 0.191
Tm 0.000 0.451 0.809
Tm 0.500 0.500 0.000
Tb 0.000 0.638 0.014
Tb 0.375 0.362 0.362
Tb 0.625 0.986 0.986
Tb 0.000 0.014 0.638
Pr 0.000 0.000 0.000



Which is most stable, and by how much? version b, by 0.138 eV/atom.